Here is a relaxed structure of CaFeF4 from Alexandria. Energies are from PBE with a Hubbard U.

abc: 5.4214 5.4214 10.8163
angles: 90.00 90.00 90.00
Last column: nearest neighbours and their distance in Å.
Space group I4/mcm (No. 140)
Unique sites:
Ca1 0.0000 0.0000 0.2500 x4  8 F 2.37
Fe1 0.0000 0.5000 0.0000 x4  4 F 2.05
F1 0.1978 0.3022 0.1268 x16  1 Fe 2.05

Computed properties:
N(E_F): 0.0 states/eV/cell
Electronic total energy: -34.1 eV per formula unit
Total moment: 4.00 μB/f.u.